1.
The following is a GGA-PBE calculation of crystalline HoThTlIn at its relaxed geometry, from the Alexandria database.

Structure (extended XYZ):
```
4
Lattice="0.000 3.838 3.838 3.838 0.000 3.838 3.838 3.838 0.000" Properties=species:S:1:pos:R:3 pbc="T T T"
Ho 0.000 0.000 0.000
Th 3.838 3.838 3.838
Tl 1.919 1.919 1.919
In 5.758 5.758 5.758
```

Output
crystal system = cubic
formation energy = -0.24 eV/atom
symmetry = F-43m, No. 216
E_tot = -18.06 eV for the cell shown
ΔE to the lowest computed polymorph = 0.035 eV per atom

2.
The following is a GGA-PBE calculation of crystalline HoThTlIn at its relaxed geometry, from the Alexandria database.

Structure (extended XYZ):
```
4
Lattice="-2.523 2.523 4.393 2.523 -2.523 4.393 2.523 2.523 -4.393" Properties=species:S:1:pos:R:3 pbc="T T T"
Ho 0.000 0.000 0.000
Th 0.000 0.000 4.393
Tl 0.000 2.523 2.196
In 2.523 0.000 2.196
```

Output
crystal system = tetragonal
formation energy = -0.27 eV/atom
symmetry = I-4m2, No. 119
E_tot = -18.20 eV for the cell shown
ΔE to the lowest computed polymorph = 0.000 eV per atom

3.
The following is a GGA-PBE calculation of crystalline HoThZnIn at its relaxed geometry, from the Alexandria database.

Structure (extended XYZ):
```
4
Lattice="0.000 3.729 3.729 3.729 0.000 3.729 3.729 3.729 0.000" Properties=species:S:1:pos:R:3 pbc="T T T"
Ho 0.000 0.000 0.000
Th 3.729 3.729 3.729
Zn 1.865 1.865 1.865
In 5.594 5.594 5.594
```

Output
crystal system = cubic
formation energy = -0.28 eV/atom
symmetry = F-43m, No. 216
E_tot = -17.13 eV for the cell shown

4.
The following is a GGA-PBE calculation of crystalline Ho6TiIn5 at its relaxed geometry, from the Alexandria database.

Structure (extended XYZ):
```
12
Lattice="-2.649 3.692 7.959 2.649 -3.692 7.959 2.649 3.692 -7.959" Properties=species:S:1:pos:R:3 pbc="T T T"
Ho 2.649 -1.852 5.310
Ho 2.649 1.850 0.000
Ho 0.000 1.840 2.649
Ho 2.649 1.852 5.310
Ho 0.000 1.843 7.959
Ho 0.000 5.544 2.649
Ti 0.000 0.000 0.000
In 2.649 0.000 2.537
In 0.000 0.000 5.300
In 0.000 3.692 0.000
In 0.000 0.000 10.617
In 0.000 3.692 5.422
```

Output
crystal system = orthorhombic
formation energy = -0.37 eV/atom
symmetry = Immm, No. 71
E_tot = -53.48 eV for the cell shown